No. 1
An optimized crystal structure of Tm3FeGe3. Source: OQMD, functional PBE-GGA.

Cell: 5.660 5.660 13.623 Å, 109.26 109.26 43.20°
Fractional coordinates of all 14 atoms:
Tm (0.598, 0.598, 0.419)
Tm (0.525, 0.525, 0.881)
Tm (0.254, 0.254, 0.269)
Tm (0.746, 0.746, 0.731)
Tm (0.402, 0.402, 0.581)
Tm (0.475, 0.475, 0.119)
Ge (0.126, 0.126, 0.575)
Ge (0.952, 0.952, 0.256)
Ge (0.142, 0.142, 0.046)
Ge (0.858, 0.858, 0.954)
Ge (0.874, 0.874, 0.425)
Ge (0.048, 0.048, 0.744)
Fe (0.754, 0.754, 0.086)
Fe (0.246, 0.246, 0.914)

Computed properties:
- DFT total energy (eV per formula unit) = -40.7
- SG = C2/m

No. 2
An optimized crystal structure of Tm3Fe2Ge3. Source: OQMD, functional PBE-GGA.

Cell: 5.615 5.615 13.740 Å, 90.00 90.00 136.74°
Site moments in Bohr magnetons follow the coordinates.
Fractional coordinates of all 16 atoms:
Fe (0.714, 0.286, 0.089)  1.02
Fe (0.286, 0.714, 0.911)  1.02
Fe (0.286, 0.714, 0.589)  1.03
Fe (0.714, 0.286, 0.411)  1.03
Tm (0.419, 0.581, 0.389)  -0.09
Tm (0.140, 0.860, 0.250)  -0.15
Tm (0.581, 0.419, 0.611)  -0.09
Tm (0.419, 0.581, 0.111)  -0.09
Tm (0.860, 0.140, 0.750)  -0.15
Tm (0.581, 0.419, 0.889)  -0.09
Ge (0.836, 0.164, 0.250)  -0.01
Ge (0.877, 0.123, 0.541)  -0.03
Ge (0.877, 0.123, 0.959)  -0.03
Ge (0.123, 0.877, 0.041)  -0.03
Ge (0.123, 0.877, 0.459)  -0.03
Ge (0.164, 0.836, 0.750)  -0.01

Computed properties:
- DFT total energy (eV per formula unit) = -48.9
- SG = Cmcm

No. 3
An optimized crystal structure of Tm3Fe4Ge4. Source: OQMD, functional PBE-GGA.

Cell: 7.745 7.745 7.745 Å, 149.07 128.48 61.31°
Site moments in Bohr magnetons follow the coordinates.
Fractional coordinates of all 11 atoms:
Fe (0.358, 0.177, 0.181)  2.02
Fe (0.995, 0.177, 0.819)  2.02
Fe (0.005, 0.823, 0.181)  2.02
Fe (0.642, 0.823, 0.819)  2.02
Tm (0.627, 0.627, 0.000)  -0.08
Tm (0.373, 0.373, 0.000)  -0.08
Tm (0.000, 0.500, 0.500)  -0.11
Ge (0.222, 0.722, 0.500)  -0.07
Ge (0.697, 0.000, 0.697)  -0.02
Ge (0.778, 0.278, 0.500)  -0.07
Ge (0.303, 0.000, 0.303)  -0.02

Computed properties:
- DFT total energy (eV per formula unit) = -70.6
- SG = Immm

No. 4
An optimized crystal structure of Tm2Fe3Ge5. Source: OQMD, functional PBE-GGA.

Cell: 8.168 8.168 8.168 Å, 108.89 84.74 140.17°
Fractional coordinates of all 20 atoms:
Fe (0.147, 0.411, 0.558)
Fe (0.250, 0.250, 0.000)
Fe (0.353, 0.911, 0.264)
Fe (0.750, 0.750, 0.000)
Fe (0.647, 0.089, 0.736)
Fe (0.853, 0.589, 0.442)
Ge (0.459, 0.250, 0.209)
Ge (0.584, 0.321, 0.905)
Ge (0.416, 0.679, 0.095)
Ge (0.041, 0.250, 0.791)
Ge (0.916, 0.821, 0.737)
Ge (0.084, 0.179, 0.263)
Ge (0.750, 0.250, 0.500)
Ge (0.541, 0.750, 0.791)
Ge (0.250, 0.750, 0.500)
Ge (0.959, 0.750, 0.209)
Tm (0.855, 0.270, 0.126)
Tm (0.145, 0.730, 0.874)
Tm (0.645, 0.770, 0.415)
Tm (0.355, 0.230, 0.585)

Computed properties:
- DFT total energy (eV per formula unit) = -61.7
- SG = Ibam